Nd4Se5F2 (PBE, optimized geometry); energy relative to the elements, uncorrected = -24.9 eV per formula unit; crystal system = monoclinic
1.0
8.799 -2.120 0.000
8.799 2.120 0.000
-1.745 0.000 7.901
Nd Se F
4 5 2
Direct
0.017 0.017 0.257 Nd
0.289 0.289 0.781 Nd
0.711 0.711 0.219 Nd
0.983 0.983 0.743 Nd
0.150 0.150 0.953 Se
0.173 0.173 0.440 Se
0.500 0.500 0.500 Se
0.827 0.827 0.560 Se
0.850 0.850 0.047 Se
0.443 0.443 0.839 F
0.557 0.557 0.161 F